*w*
DFT (PBE) results for Sc2BeAg after structural relaxation.

Values from the calculation:
**Fermi-level density of states**: 4.60 states/eV per cell
**Mass density**: 4.7 g/cm³

Unit cell a=5.2736 b=5.2736 c=5.2736 alpha=134.79 beta=134.79 gamma=65.85
Positions (direct):
Be: 0.7500 0.2500 0.5000
Ag: 0.5000 0.5000 0.0000
Sc: 0.2500 0.7500 0.5000
Sc: 0.0000 0.0000 0.0000


*x*
DFT (PBE) results for Sc2BeAg after structural relaxation.

Values from the calculation:
**Fermi-level density of states**: 3.80 states/eV per cell
**Mass density**: 4.3 g/cm³

Unit cell a=4.4568 b=4.4568 c=6.0630 alpha=79.76 beta=79.76 gamma=42.18
Positions (direct):
Sc: 0.9913 0.9913 0.0278
Sc: 0.5087 0.5087 0.4722
Be: 0.2500 0.2500 0.2500
Ag: 0.7500 0.7500 0.7500


*y*
DFT (PBE) results for Sc2BeAg after structural relaxation.

Values from the calculation:
**Fermi-level density of states**: 2.86 states/eV per cell
**Mass density**: 4.7 g/cm³

Unit cell a=3.2109 b=3.2109 c=7.1624 alpha=90.00 beta=90.00 gamma=90.00
Last column: magnetic moment on the atom in μB.
Positions (direct):
Sc: 0.5000 0.5000 0.2782  0.45
Sc: 0.0000 0.0000 0.9575  0.41
Ag: 0.0000 0.0000 0.5498  0.02
Be: 0.5000 0.5000 0.7145  0.02


What should be chosen as the most stable of them? Choose *y*.


*w*
DFT (PBE) results for Sc2BeAg after structural relaxation.

Values from the calculation:
**Fermi-level density of states**: 3.92 states/eV per cell
**Mass density**: 4.9 g/cm³

Unit cell a=4.6374 b=4.6374 c=4.6374 alpha=60.00 beta=60.00 gamma=60.00
Last column: magnetic moment on the atom in μB.
Positions (direct):
Sc: 0.7500 0.7500 0.7500  0.31
Sc: 0.0000 0.0000 0.0000  0.41
Ag: 0.5000 0.5000 0.5000  0.02
Be: 0.2500 0.2500 0.2500  -0.01


*x*
DFT (PBE) results for Sc2BeAg after structural relaxation.

Values from the calculation:
**Fermi-level density of states**: 4.19 states/eV per cell
**Mass density**: 4.6 g/cm³

Unit cell a=4.7104 b=4.7104 c=4.7104 alpha=60.00 beta=60.00 gamma=60.00
Positions (direct):
Be: 0.0000 0.0000 0.0000
Ag: 0.5000 0.5000 0.5000
Sc: 0.2500 0.2500 0.2500
Sc: 0.7500 0.7500 0.7500


What should be chosen as the most stable of them? Choose *x*.


*w*
DFT (PBE) results for Sc2BeAg after structural relaxation.

Values from the calculation:
**Fermi-level density of states**: 4.35 states/eV per cell
**Mass density**: 4.5 g/cm³

Unit cell a=8.8633 b=8.8633 c=8.8633 alpha=20.80 beta=20.80 gamma=20.80
Positions (direct):
Be: 0.7500 0.7500 0.7500
Sc: 0.0096 0.0096 0.0096
Sc: 0.4904 0.4904 0.4904
Ag: 0.2500 0.2500 0.2500


*x*
DFT (PBE) results for Sc2BeAg after structural relaxation.

Values from the calculation:
**Fermi-level density of states**: 3.95 states/eV per cell
**Mass density**: 4.8 g/cm³

Unit cell a=3.2582 b=3.2582 c=6.8024 alpha=90.00 beta=90.00 gamma=90.00
Positions (direct):
Sc: 0.0000 0.0000 0.9733
Sc: 0.0000 0.0000 0.5267
Be: 0.5000 0.5000 0.7500
Ag: 0.5000 0.5000 0.2500


*y*
DFT (PBE) results for Sc2BeAg after structural relaxation.

Values from the calculation:
**Fermi-level density of states**: 4.30 states/eV per cell
**Mass density**: 4.7 g/cm³

Unit cell a=5.5888 b=5.5888 c=4.7319 alpha=67.42 beta=67.42 gamma=32.70
Last column: magnetic moment on the atom in μB.
Positions (direct):
Be: 0.2284 0.2284 0.2530  0.00
Ag: 0.5413 0.5413 0.4728  0.01
Sc: 0.9682 0.9682 0.0424  0.07
Sc: 0.7621 0.7621 0.7318  0.10


*z*
DFT (PBE) results for Sc2BeAg after structural relaxation.

Values from the calculation:
**Fermi-level density of states**: 7.17 states/eV per cell
**Mass density**: 4.2 g/cm³

Unit cell a=4.1264 b=4.1264 c=9.9313 alpha=78.01 beta=78.01 gamma=90.00
Positions (direct):
Ag: 0.7500 0.2500 0.5000
Ag: 0.0000 0.0000 0.0000
Sc: 0.8750 0.8652 0.7500
Sc: 0.6152 0.1250 0.2500
Sc: 0.3750 0.3848 0.7500
Sc: 0.1348 0.6250 0.2500
Be: 0.5000 0.5000 0.0000
Be: 0.2500 0.7500 0.5000


What should be chosen as the most stable of them? Choose *x*.


*w*
DFT (PBE) results for Be3AgSe after structural relaxation.

Values from the calculation:
**Fermi-level density of states**: 3.04 states/eV per cell
**Mass density**: 4.5 g/cm³

Unit cell a=4.2954 b=4.2954 c=4.2954 alpha=90.00 beta=90.00 gamma=90.00
Positions (direct):
Ag: 0.5000 0.5000 0.5000
Se: 0.0000 0.0000 0.0000
Be: 0.5000 0.0000 0.0000
Be: 0.0000 0.0000 0.5000
Be: 0.0000 0.5000 0.0000


*x*
DFT (PBE) results for Be3AgSe after structural relaxation.

Values from the calculation:
**Fermi-level density of states**: 2.50 states/eV per cell
**Mass density**: 4.2 g/cm³

Unit cell a=4.3909 b=4.3909 c=4.3909 alpha=90.00 beta=90.00 gamma=90.00
Positions (direct):
Be: 0.5000 0.0000 0.0000
Be: 0.0000 0.5000 0.0000
Be: 0.0000 0.0000 0.5000
Ag: 0.0000 0.0000 0.0000
Se: 0.5000 0.5000 0.5000


What should be chosen as the most stable of them? Choose *x*.


*w*
DFT (PBE) results for BeAg2Se after structural relaxation.

Values from the calculation:
**Fermi-level density of states**: 0.81 states/eV per cell
**Mass density**: 6.9 g/cm³

Unit cell a=3.4323 b=3.7773 c=5.7679 alpha=78.73 beta=90.00 gamma=90.00
Positions (direct):
Ag: 0.0000 0.8580 0.0449
Ag: 0.5000 0.2714 0.2960
Se: 0.5000 0.6198 0.6926
Be: 0.0000 0.7508 0.4666


*x*
DFT (PBE) results for BeAg2Se after structural relaxation.

Values from the calculation:
**Fermi-level density of states**: 1.69 states/eV per cell
**Mass density**: 7.4 g/cm³

Unit cell a=5.1359 b=5.1359 c=2.8173 alpha=89.82 beta=89.82 gamma=113.34
Positions (direct):
Ag: 0.0000 0.0000 0.0000
Ag: 0.5000 0.5000 0.0000
Be: 0.5000 0.0000 0.5000
Se: 0.0000 0.5000 0.5000


*y*
DFT (PBE) results for BeAg2Se after structural relaxation.

Values from the calculation:
**Fermi-level density of states**: 0.90 states/eV per cell
**Mass density**: 7.1 g/cm³

Unit cell a=6.8948 b=6.8948 c=6.8948 alpha=152.48 beta=152.13 gamma=39.57
Positions (direct):
Ag: 0.5651 0.5651 0.0000
Ag: 0.9349 0.9349 0.0000
Be: 0.7500 0.2500 0.5000
Se: 0.2500 0.7500 0.5000


*z*
DFT (PBE) results for BeAg2Se after structural relaxation.

Values from the calculation:
**Mass density**: 7.3 g/cm³

Unit cell a=4.6079 b=4.6079 c=4.6079 alpha=60.00 beta=60.00 gamma=60.00
Positions (direct):
Ag: 0.2500 0.2500 0.2500
Ag: 0.0000 0.0000 0.0000
Be: 0.5000 0.5000 0.5000
Se: 0.7500 0.7500 0.7500


What should be chosen as the most stable of them? Choose *w*.


*w*
DFT (PBE) results for BeAg2Se after structural relaxation.

Values from the calculation:
**Fermi-level density of states**: 1.25 states/eV per cell
**Mass density**: 7.0 g/cm³

Unit cell a=3.1694 b=3.1694 c=7.8339 alpha=90.00 beta=90.00 gamma=113.51
Positions (direct):
Ag: 0.0000 0.0000 0.0120
Ag: 0.5000 0.5000 0.2914
Be: 0.0000 0.0000 0.5186
Se: 0.5000 0.5000 0.6781


*x*
DFT (PBE) results for BeAg2Se after structural relaxation.

Values from the calculation:
**Fermi-level density of states**: 1.03 states/eV per cell
**Mass density**: 7.5 g/cm³

Unit cell a=2.8290 b=2.8290 c=8.4476 alpha=90.00 beta=90.00 gamma=90.00
Positions (direct):
Se: 0.5000 0.5000 0.7500
Ag: 0.0000 0.0000 0.4397
Ag: 0.0000 0.0000 0.0603
Be: 0.5000 0.5000 0.2500


*y*
DFT (PBE) results for BeAg2Se after structural relaxation.

Values from the calculation:
**Fermi-level density of states**: 1.06 states/eV per cell
**Mass density**: 7.1 g/cm³

Unit cell a=3.9238 b=2.8999 c=6.4379 alpha=103.29 beta=90.00 gamma=90.00
Positions (direct):
Se: 0.5000 0.7500 0.7500
Ag: 0.0000 0.6276 0.4429
Ag: 0.0000 0.8724 0.0571
Be: 0.5000 0.2500 0.2500


*z*
DFT (PBE) results for BeAg2Se after structural relaxation.

Values from the calculation:
**Fermi-level density of states**: 2.73 states/eV per cell
**Mass density**: 7.5 g/cm³

Unit cell a=9.0825 b=9.0825 c=9.0825 alpha=18.64 beta=18.64 gamma=18.64
Last column: magnetic moment on the atom in μB.
Positions (direct):
Ag: 0.5148 0.5148 0.5148  0.00
Ag: 0.9852 0.9852 0.9852  0.00
Be: 0.2500 0.2500 0.2500  0.00
Se: 0.7500 0.7500 0.7500  0.12


What should be chosen as the most stable of them? Choose *w*.


*w*
DFT (PBE) results for BeAg2Se2 after structural relaxation.

Values from the calculation:
**Fermi-level density of states**: 0.85 states/eV per cell
**Mass density**: 6.5 g/cm³

Unit cell a=6.7357 b=6.7357 c=4.3290 alpha=90.00 beta=90.00 gamma=90.00
Positions (direct):
Ag: 0.1489 0.6489 0.5000
Ag: 0.3511 0.1489 0.5000
Ag: 0.8511 0.3511 0.5000
Ag: 0.6489 0.8511 0.5000
Be: 0.5000 0.5000 0.0000
Be: 0.0000 0.0000 0.0000
Se: 0.3152 0.8152 0.0000
Se: 0.1848 0.3152 0.0000
Se: 0.8152 0.6848 0.0000
Se: 0.6848 0.1848 0.0000


*x*
DFT (PBE) results for BeAg2Se2 after structural relaxation.

Values from the calculation:
**Fermi-level density of states**: 1.88 states/eV per cell
**Mass density**: 6.2 g/cm³

Unit cell a=3.7593 b=3.7593 c=7.6718 alpha=75.82 beta=75.82 gamma=90.00
Positions (direct):
Se: 0.3982 0.3982 0.2037
Se: 0.6018 0.6018 0.7963
Ag: 0.2500 0.7500 0.5000
Ag: 0.7500 0.2500 0.5000
Be: 0.0000 0.0000 0.0000


What should be chosen as the most stable of them? Choose *w*.


*w*
DFT (PBE) results for BeSiAg2 after structural relaxation.

Values from the calculation:
**Fermi-level density of states**: 1.94 states/eV per cell
**Mass density**: 6.7 g/cm³

Unit cell a=4.4476 b=4.4476 c=4.4476 alpha=60.00 beta=60.00 gamma=60.00
Positions (direct):
Ag: 0.0000 0.0000 0.0000
Ag: 0.2500 0.2500 0.2500
Be: 0.5000 0.5000 0.5000
Si: 0.7500 0.7500 0.7500


*x*
DFT (PBE) results for BeSiAg2 after structural relaxation.

Values from the calculation:
**Fermi-level density of states**: 1.27 states/eV per cell
**Mass density**: 6.8 g/cm³

Unit cell a=4.3594 b=2.8598 c=4.9278 alpha=91.15 beta=90.00 gamma=90.00
Positions (direct):
Ag: 0.0000 0.5073 0.4916
Ag: 0.0000 0.9927 0.0084
Si: 0.5000 0.7500 0.7500
Be: 0.5000 0.2500 0.2500


*y*
DFT (PBE) results for BeSiAg2 after structural relaxation.

Values from the calculation:
**Fermi-level density of states**: 0.90 states/eV per cell
**Mass density**: 7.0 g/cm³

Unit cell a=4.5616 b=4.5616 c=4.6771 alpha=79.96 beta=79.96 gamma=39.11
Positions (direct):
Be: 0.7500 0.7500 0.7500
Ag: 0.4913 0.4913 0.5084
Ag: 0.0087 0.0087 0.9916
Si: 0.2500 0.2500 0.2500


What should be chosen as the most stable of them? Choose *y*.